The following is a DFT calculation (PBE) of an optimized crystal structure of NbVB.

Lattice parameters (Å, degrees): 3.3327 3.3327 13.1633 90.00 90.00 90.00
Space group I4/mmm (No. 139)
Asymmetric unit:
Nb (0.0000, 0.0000, 0.1797)
V (0.0000, 0.5000, 0.0000)
B (0.0000, 0.0000, 0.3709)

Output
DFT formation energy	-0.5558	eV/atom

***

The following is a DFT calculation (PBE) of an optimized crystal structure of NbVB.

Lattice parameters (Å, degrees): 3.2150 3.2150 13.4230 90.00 90.00 120.00
Space group R3m (No. 160, hexagonal axes)
Asymmetric unit:
Nb (0.0000, 0.0000, 0.0000)
V (0.0000, 0.0000, 0.4962)
B (0.0000, 0.0000, 0.2351)

Output
DFT formation energy	-0.2200	eV/atom

***

The following is a DFT calculation (PBE) of an optimized crystal structure of NbVB.

Lattice parameters (Å, degrees): 3.0484 3.0484 8.1515 90.00 90.00 90.00
Space group I4mm (No. 107)
Asymmetric unit:
Nb (0.0000, 0.0000, 0.0000)
V (0.0000, 0.0000, 0.7073)
B (0.0000, 0.0000, 0.3259)

Output
DFT formation energy	0.0221	eV/atom

***

The following is a DFT calculation (PBE) of an optimized crystal structure of NbV3B.

Lattice parameters (Å, degrees): 4.1010 4.1010 4.1010 90.00 90.00 90.00
Space group Pm-3m (No. 221)
Asymmetric unit:
Nb (0.0000, 0.0000, 0.0000)
V (0.0000, 0.5000, 0.5000)
B (0.5000, 0.5000, 0.5000)

Output
DFT formation energy	0.0541	eV/atom

***

- Which of these has the highest DFT formation energy?
  NbV3B

***

- Among the records above, which one has the highest DFT formation energy?
  NbV3B

***

- Which of these has the highest DFT formation energy?
  NbV3B

***

What did the second record say?
The following is a DFT calculation (PBE) of an optimized crystal structure of NbVB.

Lattice parameters (Å, degrees): 3.2150 3.2150 13.4230 90.00 90.00 120.00
Space group R3m (No. 160, hexagonal axes)
Asymmetric unit:
Nb (0.0000, 0.0000, 0.0000)
V (0.0000, 0.0000, 0.4962)
B (0.0000, 0.0000, 0.2351)

Output
DFT formation energy	-0.2200	eV/atom